Pm8Mg2Tc PBE optimized geometry; uncorrected energy = -4.659 eV/atom; total magnetization = 0.0 μB per cell; energy of formation = 0.03 eV/atom; space group = Immm (71); Fermi-level density of states = 1.311 states/eV per atom
1.0
-1.5528 2.8027 4.7429
-4.6452 3.9069 -3.8295
-2.7822 -8.9778 0.9407
Pm Mg Tc
8 2 1
Direct
0.6230 0.8619 0.2460 Pm
0.3770 0.6159 0.7540 Pm
0.1908 0.1908 0.3815 Pm
0.0000 0.2414 0.0000 Pm
0.8092 0.8092 0.6185 Pm
0.6230 0.3841 0.2460 Pm
0.3770 0.1381 0.7540 Pm
0.0000 0.7586 0.0000 Pm
0.1884 0.6884 0.3767 Mg
0.8116 0.3116 0.6233 Mg
0.5000 0.0000 0.0000 Tc

---

Ca2Zn2P PBE optimized geometry; uncorrected energy = -2.829 eV/atom; total magnetization = 0.0 μB per cell; energy of formation = -0.44 eV/atom; space group = I4/mmm (139); excess energy over the best structure of this formula in the dataset = 0.037 eV per atom; Fermi-level density of states = 0.571 states/eV per atom
1.0
-1.5306 -3.0935 -1.0929
3.0645 -1.7788 0.7430
-2.1072 -3.9345 8.0917
P Zn Ca
1 2 2
Direct
0.0000 0.0000 0.0000 P
0.7500 0.2500 0.5000 Zn
0.2500 0.7500 0.5000 Zn
0.4119 0.4119 0.1762 Ca
0.5881 0.5881 0.8238 Ca

---

Which formula does entry 1 have? Pm8Mg2Tc

---

Which of these has the highest energy of formation? Pm8Mg2Tc

---

What is the uncorrected energy in the first record? -4.659 eV/atom

---

Please write out number 1 again, unchanged.
Pm8Mg2Tc PBE optimized geometry; uncorrected energy = -4.659 eV/atom; total magnetization = 0.0 μB per cell; energy of formation = 0.03 eV/atom; space group = Immm (71); Fermi-level density of states = 1.311 states/eV per atom
1.0
-1.5528 2.8027 4.7429
-4.6452 3.9069 -3.8295
-2.7822 -8.9778 0.9407
Pm Mg Tc
8 2 1
Direct
0.6230 0.8619 0.2460 Pm
0.3770 0.6159 0.7540 Pm
0.1908 0.1908 0.3815 Pm
0.0000 0.2414 0.0000 Pm
0.8092 0.8092 0.6185 Pm
0.6230 0.3841 0.2460 Pm
0.3770 0.1381 0.7540 Pm
0.0000 0.7586 0.0000 Pm
0.1884 0.6884 0.3767 Mg
0.8116 0.3116 0.6233 Mg
0.5000 0.0000 0.0000 Tc